First-principles (PBE) data for an optimized crystal structure of K2MgW, as listed in Alexandria.

Properties
The value obtained for the formation energy is 1.224 eV/atom. The crystal system is orthorhombic. As for the density of states at the Fermi level: 0.816 states/eV per atom. The density is 3.6 g/cm3.

abc: 7.721 7.721 7.721
angles: 158.45 129.18 55.82
Atoms (fractional coordinates):
K: 0.032 0.032 0.000
K: 0.734 0.234 0.500
Mg: 0.454 0.454 0.000
W: 0.280 0.780 0.500